[1]
The following is a GGA-PBE calculation of a relaxed KAc2Si6 crystal, from Alexandria via LeMat-Bulk.

The density of states at the Fermi level comes out at 0.419 states/eV/atom. For the total energy, the calculation gives -4.83 eV/atom. The value obtained for the uncorrected formation energy is -183.2 meV/atom.

The space group is Immm (No. 71) and the conventional cell measures 4.877, 6.660 and 15.075 Å, with angles of 90.00, 90.00 and 90.00 degrees. The inequivalent atoms are K at (0.000, 0.000, 0.000), Ac at (0.000, 0.500, 0.168), Si at (0.000, 0.173, 0.500) and Si at (0.000, 0.321, 0.361).

=====

[2]
The following is a GGA-PBE calculation of a relaxed KAcSm2 crystal, from Alexandria via LeMat-Bulk.

The density of states at the Fermi level comes out at 1.616 states/eV/atom. For the formation energy from the elements, the calculation gives 0.247 eV/atom. For the total energy, the calculation gives -3.41 eV/atom.

The space group is R-3m (No. 166, hexagonal axes) and the conventional cell measures 3.7566, 3.7566 and 41.2540 Å, with angles of 90.00, 90.00 and 120.00 degrees. The inequivalent atoms are K at (0.0000, 0.0000, 0.0000), Ac at (0.0000, 0.0000, 0.5000) and Sm at (0.0000, 0.0000, 0.0938).

=====

[3]
The following is a GGA-PBE calculation of a relaxed KAc2Sm crystal, from Alexandria via LeMat-Bulk.

The density of states at the Fermi level comes out at 1.076 states/eV/atom. For the formation energy from the elements, the calculation gives 0.154 eV/atom. For the total energy, the calculation gives -3.35 eV/atom.

The space group is R-3m (No. 166, hexagonal axes) and the conventional cell measures 3.9018, 3.9018 and 41.9920 Å, with angles of 90.00, 90.00 and 120.00 degrees. The inequivalent atoms are K at (0.0000, 0.0000, 0.0000), Ac at (0.0000, 0.0000, 0.0952) and Sm at (0.0000, 0.0000, 0.5000).

=====

[4]
The following is a GGA-PBE calculation of a relaxed KAcSm crystal, from Alexandria via LeMat-Bulk.

The density of states at the Fermi level comes out at 1.373 states/eV/atom. For the formation energy from the elements, the calculation gives 0.336 eV/atom. For the total energy, the calculation gives -2.97 eV/atom.

The space group is C2/m (No. 12) and the conventional cell measures 12.419, 3.730 and 12.246 Å, with angles of 90.00, 90.50 and 90.00 degrees. The inequivalent atoms are K at (0.127, 0.000, 0.407), Ac at (0.114, 0.500, 0.793) and Sm at (0.156, 0.500, 0.079).

=====

[5]
The following is a GGA-PBE calculation of a relaxed KAc3Sm2Te6 crystal, from Alexandria via LeMat-Bulk.

The density of states at the Fermi level comes out at 0.417 states/eV/atom. For the total energy, the calculation gives -4.90 eV/atom. The value obtained for the uncorrected formation energy is -1425.5 meV/atom.

The space group is C2/m (No. 12) and the conventional cell measures 20.257, 4.640 and 9.353 Å, with angles of 90.00, 102.67 and 90.00 degrees. The inequivalent atoms are K at (0.000, 0.000, 0.000), Ac at (0.000, 0.000, 0.500), Ac at (0.161, 0.500, 0.828), Sm at (0.170, 0.500, 0.347), Te at (0.009, 0.500, 0.255), Te at (0.169, 0.000, 0.577) and Te at (0.170, 0.000, 0.099).

=====

[6]
The following is a GGA-PBE calculation of a relaxed KAc2Sm3Te6 crystal, from Alexandria via LeMat-Bulk.

The density of states at the Fermi level comes out at 0.397 states/eV/atom. For the total energy, the calculation gives -4.95 eV/atom. The value obtained for the uncorrected formation energy is -1423.1 meV/atom.

The space group is C2/m (No. 12) and the conventional cell measures 20.231, 4.539 and 9.366 Å, with angles of 90.00, 104.85 and 90.00 degrees. The inequivalent atoms are K at (0.000, 0.000, 0.000), Ac at (0.168, 0.500, 0.337), Sm at (0.000, 0.000, 0.500), Sm at (0.164, 0.500, 0.823), Te at (0.002, 0.500, 0.736), Te at (0.161, 0.000, 0.592) and Te at (0.173, 0.000, 0.071).

=====

[7]
The following is a GGA-PBE calculation of a relaxed KAc2SmTe4 crystal, from Alexandria via LeMat-Bulk.

The density of states at the Fermi level comes out at 0.388 states/eV/atom. For the total energy, the calculation gives -4.75 eV/atom. The value obtained for the uncorrected formation energy is -1421.4 meV/atom.

The space group is P2/m (No. 10) and the conventional cell measures 8.059, 4.666 and 8.236 Å, with angles of 90.00, 109.06 and 90.00 degrees. The inequivalent atoms are K at (0.000, 0.000, 0.000), Ac at (0.500, 0.000, 0.500), Ac at (0.500, 0.500, 0.000), Sm at (0.000, 0.500, 0.500), Te at (0.238, 0.000, 0.738) and Te at (0.247, 0.500, 0.259).

=====

[8]
The following is a GGA-PBE calculation of a relaxed K3AcSm2Te6 crystal, from Alexandria via LeMat-Bulk.

The density of states at the Fermi level comes out at 0.000 states/eV/atom. For the total energy, the calculation gives -4.41 eV/atom. The value obtained for the uncorrected formation energy is -1435.5 meV/atom.

The space group is C2/m (No. 12) and the conventional cell measures 8.083, 14.004 and 8.694 Å, with angles of 90.00, 108.11 and 90.00 degrees. The inequivalent atoms are K at (0.000, 0.000, 0.000), K at (0.000, 0.336, 0.000), Ac at (0.000, 0.500, 0.500), Sm at (0.000, 0.167, 0.500), Te at (0.225, 0.000, 0.715) and Te at (0.245, 0.327, 0.716).

=====

[9]
The following is a GGA-PBE calculation of a relaxed K3Ac2SmTe6 crystal, from Alexandria via LeMat-Bulk.

The density of states at the Fermi level comes out at 0.000 states/eV/atom. For the total energy, the calculation gives -4.39 eV/atom. The value obtained for the uncorrected formation energy is -1462.1 meV/atom.

The space group is C2/m (No. 12) and the conventional cell measures 21.498, 4.752 and 9.945 Å, with angles of 90.00, 106.70 and 90.00 degrees. The inequivalent atoms are K at (0.000, 0.000, 0.000), K at (0.168, 0.500, 0.334), Ac at (0.164, 0.500, 0.829), Sm at (0.000, 0.000, 0.500), Te at (0.003, 0.500, 0.720), Te at (0.155, 0.000, 0.590) and Te at (0.173, 0.000, 0.070).

=====

[10]
The following is a GGA-PBE calculation of a relaxed KAcSn4 crystal, from Alexandria via LeMat-Bulk.

For the formation energy from the elements, the calculation gives -0.378 eV/atom. For the total energy, the calculation gives -3.91 eV/atom.

The space group is F-43m (No. 216) and the conventional cell measures 9.067, 9.067 and 9.067 Å, with angles of 90.00, 90.00 and 90.00 degrees. The inequivalent atoms are K at (0.000, 0.000, 0.000), Ac at (0.250, 0.250, 0.250) and Sn at (0.124, 0.124, 0.624).

=====

[11]
The following is a GGA-PBE calculation of a relaxed KAc4Sn4 crystal, from Alexandria via LeMat-Bulk.

The density of states at the Fermi level comes out at 0.897 states/eV/atom. For the formation energy from the elements, the calculation gives -0.417 eV/atom. For the total energy, the calculation gives -4.14 eV/atom.

The space group is P4_2/n (No. 86, origin choice 2) and the conventional cell measures 11.018, 11.018 and 6.696 Å, with angles of 90.00, 90.00 and 90.00 degrees. The inequivalent atoms are K at (0.250, 0.250, 0.250), Ac at (0.110, 0.632, 0.134) and Sn at (0.055, 0.588, 0.643).

=====

[12]
The following is a GGA-PBE calculation of a relaxed KAc2Sn3Te6 crystal, from Alexandria via LeMat-Bulk.

The density of states at the Fermi level comes out at 0.185 states/eV/atom. For the total energy, the calculation gives -4.16 eV/atom. The value obtained for the uncorrected formation energy is -812.5 meV/atom.

The space group is C2/m (No. 12) and the conventional cell measures 20.315, 4.919 and 9.191 Å, with angles of 90.00, 102.57 and 90.00 degrees. The inequivalent atoms are K at (0.000, 0.000, 0.000), Ac at (0.166, 0.500, 0.322), Sn at (0.000, 0.000, 0.500), Sn at (0.162, 0.500, 0.854), Te at (0.001, 0.500, 0.269), Te at (0.165, 0.000, 0.572) and Te at (0.177, 0.000, 0.074).